VASP calculation (PBE-GGA) on Ce2NpSi2Ru5 after structural relaxation.

extended XYZ file:
```
20
Lattice="3.4602 0.0000 0.0000 0.0000 10.0654 0.0000 0.0000 0.0000 10.0654" Properties=species:S:1:pos:R:3 pbc="T T T"
Ru 1.7301 9.3594 2.1510
Ru 1.7301 5.7386 7.1837
Ru 1.7301 0.7060 7.9143
Ru 1.7301 5.0327 0.0000
Ru 1.7301 4.3267 2.8817
Ce 0.0000 1.7357 3.2969
Si 0.0000 3.7835 1.2492
Si 0.0000 1.2492 6.2819
Np 0.0000 5.0327 5.0327
Si 0.0000 8.8162 3.7835
Ru 1.7301 7.9143 9.3594
Ce 0.0000 6.7684 1.7357
Si 0.0000 6.2819 8.8162
Ru 1.7301 2.1510 0.7060
Ru 1.7301 7.1837 4.3267
Np 0.0000 0.0000 0.0000
Ru 1.7301 2.8817 5.7386
Ru 1.7301 0.0000 5.0327
Ce 0.0000 3.2969 8.3296
Ce 0.0000 8.3296 6.7684
```

E_form (uncorrected) in kJ/mol of formula units: -489
SG: P4/mbm
Electronic total energy in eV per atom: -8.71